# 1
Computed, not measured: NdTmCrN3 after structural relaxation at the PBE level of DFT.

Computed properties:
- E_form (uncorrected) (meV per atom) = -1123
- calculated total energy (eV per atom) = -8.43
- V (Å³ per atom) = 15.11

Lattice parameters (Å, degrees): 3.4030 7.3648 7.3412 99.75 90.00 90.00
With the nearest neighbours (Å) after each atom.
Sites, in units of the cell vectors:
Tm  0.2500  0.6362  0.1650  6 N 2.28-2.52
Nd  0.2500  0.1838  0.1865  3 N 2.44-2.45
Nd  0.7500  0.8162  0.8135  3 N 2.44-2.45
Cr  0.2500  0.0821  0.5992  4 N 1.80-1.93
N  0.7500  0.8744  0.1517  1 Cr 1.80
N  0.2500  0.8346  0.4802  3 Cr 1.88-1.93
Tm  0.7500  0.3638  0.8350  6 N 2.28-2.52
Cr  0.7500  0.9179  0.4008  4 N 1.80-1.93
N  0.7500  0.1654  0.5198  3 Cr 1.88-1.93
N  0.2500  0.1256  0.8483  1 Cr 1.80
N  0.7500  0.4120  0.1494  3 Tm 2.28-2.36, 2 Nd 2.44
N  0.2500  0.5880  0.8506  3 Tm 2.28-2.36, 2 Nd 2.44



# 2
Computed, not measured: NdU2CrN4 after structural relaxation at the PBE level of DFT.

Computed properties:
- E_form (uncorrected) (meV per atom) = -1162
- calculated total energy (eV per atom) = -9.95
- V (Å³ per atom) = 13.87

Lattice parameters (Å, degrees): 3.3763 6.0411 11.3300 90.00 90.00 106.23
With the nearest neighbours (Å) after each atom.
Sites, in units of the cell vectors:
N  0.2675  0.5349  0.3836  1 Cr 1.95
N  0.2675  0.5349  0.1164  1 Cr 1.95
U  0.3677  0.7354  0.5548  6 N 2.26-2.41
N  0.7325  0.4651  0.8836  1 Cr 1.95
Nd  0.0998  0.1997  0.7500  6 N 2.52-2.74
U  0.3677  0.7354  0.9452  6 N 2.26-2.41
Cr  0.8384  0.6768  0.7500  4 N 1.95-2.05
N  0.4383  0.8767  0.7500  2 Cr 2.05
N  0.0000  0.0000  0.5000  4 U 2.36
Cr  0.1616  0.3232  0.2500  4 N 1.95-2.05
N  0.7325  0.4651  0.6164  1 Cr 1.95
U  0.6323  0.2646  0.0548  6 N 2.26-2.41
Nd  0.9002  0.8003  0.2500  6 N 2.52-2.74
U  0.6323  0.2646  0.4452  6 N 2.26-2.41
N  0.5617  0.1233  0.2500  2 Cr 2.05
N  0.0000  0.0000  0.0000  4 U 2.36



# 3
Computed, not measured: Nd2VCrN5 after structural relaxation at the PBE level of DFT.

Computed properties:
- E_form (uncorrected) (meV per atom) = -705
- calculated total energy (eV per atom) = -8.47
- V (Å³ per atom) = 13.64

Lattice parameters (Å, degrees): 3.3117 7.8673 9.6367 90.00 90.00 102.15
With the nearest neighbours (Å) after each atom.
Sites, in units of the cell vectors:
N  0.3446  0.6892  0.3516  1 N 1.44
Nd  0.1147  0.2294  0.6616  7 N 2.48-2.59
Nd  0.8853  0.7706  0.1616  7 N 2.48-2.59
N  0.4382  0.8764  0.3403  1 N 1.44
N  0.6554  0.3108  0.8516  1 N 1.44
Cr  0.9940  0.9880  0.9189  5 N 2.08-2.20
N  0.5976  0.1952  0.4566  2 Cr 2.20
N  0.9299  0.8597  0.5970  2 V 1.92, 1 Cr 2.08
Nd  0.1923  0.3846  0.3178  5 N 2.36-2.58
N  0.2751  0.5501  0.6351  1 V 1.77
V  0.3752  0.7503  0.5450  4 N 1.77-1.92
Nd  0.8077  0.6153  0.8178  5 N 2.36-2.58
N  0.4024  0.8048  0.9566  2 Cr 2.20
Cr  0.0060  0.0120  0.4189  5 N 2.08-2.20
V  0.6248  0.2497  0.0450  4 N 1.77-1.92
N  0.7249  0.4499  0.1351  1 V 1.77
N  0.0701  0.1403  0.0970  2 V 1.92, 1 Cr 2.08
N  0.5618  0.1236  0.8403  1 N 1.44



# 4
Computed, not measured: Nd2YCrN4 after structural relaxation at the PBE level of DFT.

Computed properties:
- E_form (uncorrected) (meV per atom) = -1003
- calculated total energy (eV per atom) = -8.37
- V (Å³ per atom) = 15.36

Lattice parameters (Å, degrees): 3.4411 6.0991 12.2080 90.00 90.00 106.39
With the nearest neighbours (Å) after each atom.
Sites, in units of the cell vectors:
N  0.0000  0.0000  0.5000  4 Nd 2.38
N  0.7266  0.4532  0.8598  1 Cr 1.88
N  0.0000  0.0000  0.0000  4 Nd 2.38
N  0.5794  0.1588  0.2500  2 Cr 1.97
Nd  0.6330  0.2660  0.4578  4 N 2.38-2.61
Nd  0.6330  0.2660  0.0422  4 N 2.38-2.61
N  0.4206  0.8412  0.7500  2 Cr 1.97
Cr  0.8387  0.6773  0.7500  4 N 1.88-1.97
Nd  0.3670  0.7340  0.9578  4 N 2.38-2.61
Cr  0.1613  0.3227  0.2500  4 N 1.88-1.97
Nd  0.3670  0.7340  0.5422  4 N 2.38-2.61
N  0.7266  0.4532  0.6402  1 Cr 1.88
N  0.2734  0.5468  0.3598  1 Cr 1.88
Y  0.8836  0.7673  0.2500  4 N 2.53
N  0.2734  0.5468  0.1402  1 Cr 1.88
Y  0.1164  0.2327  0.7500  4 N 2.53



# 5
Computed, not measured: CrNiN2 after structural relaxation at the PBE level of DFT.

Computed properties:
- E_form (uncorrected) (meV per atom) = 14
- calculated total energy (eV per atom) = -8.00
- V (Å³ per atom) = 9.46
- energy above the lowest structure with this stoichiometry (eV/atom) = 0.2005

Lattice parameters (Å, degrees): 6.1317 6.1317 6.1317 25.58 25.58 25.58
With the nearest neighbours (Å) after each atom.
Sites, in units of the cell vectors:
N  0.8982  0.8982  0.8982  1 Ni 1.81, 3 Cr 1.95
Cr  0.5000  0.5000  0.5000  6 N 1.95
Ni  0.0000  0.0000  0.0000  2 N 1.81
N  0.1018  0.1018  0.1018  1 Ni 1.81, 3 Cr 1.95



# 6
Computed, not measured: Cr3Ni3N after structural relaxation at the PBE level of DFT.

Computed properties:
- E_form (uncorrected) (meV per atom) = -85
- calculated total energy (eV per atom) = -7.88
- V (Å³ per atom) = 10.44

Lattice parameters (Å, degrees): 7.4494 7.4494 7.4494 60.00 60.00 60.00
With the nearest neighbours (Å) after each atom.
Sites, in units of the cell vectors:
Cr  0.1897  0.8103  0.8103  2 N 1.98
N  0.1250  0.1250  0.1250  6 Cr 1.98
Ni  0.1250  0.6250  0.6250  6 Ni 2.30
Ni  0.8367  0.4900  0.8367  3 Ni 2.30, 3 Cr 2.45
Ni  0.8367  0.8367  0.8367  3 Ni 2.30, 3 Cr 2.45
Cr  0.8103  0.1897  0.8103  2 N 1.98
Cr  0.8103  0.1897  0.1897  2 N 1.98
N  0.1250  0.1250  0.6250  6 Cr 1.98
Cr  0.1897  0.8103  0.1897  2 N 1.98
N  0.1250  0.6250  0.1250  6 Cr 1.98
Ni  0.4133  0.4133  0.4133  3 Ni 2.30, 3 Cr 2.45
Cr  0.0603  0.0603  0.4397  2 N 1.98
Ni  0.6250  0.6250  0.6250  6 Ni 2.30
Cr  0.4397  0.0603  0.0603  2 N 1.98
Cr  0.4397  0.0603  0.4397  2 N 1.98
Ni  0.4133  0.4133  0.7600  3 Ni 2.30, 3 Cr 2.45
N  0.6250  0.1250  0.1250  6 Cr 1.98
Ni  0.6250  0.1250  0.6250  6 Ni 2.30
Cr  0.4397  0.4397  0.0603  2 N 1.98
Ni  0.7600  0.4133  0.4133  3 Ni 2.30, 3 Cr 2.45
Ni  0.4133  0.7600  0.4133  3 Ni 2.30, 3 Cr 2.45
Ni  0.8367  0.8367  0.4900  3 Ni 2.30, 3 Cr 2.45
Ni  0.4900  0.8367  0.8367  3 Ni 2.30, 3 Cr 2.45
Cr  0.0603  0.4397  0.0603  2 N 1.98
Ni  0.6250  0.6250  0.1250  6 Ni 2.30
Cr  0.1897  0.1897  0.8103  2 N 1.98
Cr  0.0603  0.4397  0.4397  2 N 1.98
Cr  0.8103  0.8103  0.1897  2 N 1.98



# 7
Computed, not measured: Cr2Ni2N after structural relaxation at the PBE level of DFT.

Computed properties:
- E_form (uncorrected) (meV per atom) = 565
- calculated total energy (eV per atom) = -7.26
- V (Å³ per atom) = 10.89
- energy above the lowest structure with this stoichiometry (eV/atom) = 0.0000

Lattice parameters (Å, degrees): 5.0393 5.0393 4.2889 90.00 90.00 90.00
With the nearest neighbours (Å) after each atom.
Sites, in units of the cell vectors:
N  0.0000  0.0000  0.0000  4 Ni 1.85
Ni  0.3217  0.8217  0.0000  2 N 1.85
Ni  0.6783  0.1783  0.0000  2 N 1.85
Cr  0.8583  0.3583  0.5000  1 Cr 2.02
Cr  0.6417  0.8583  0.5000  1 Cr 2.02
Ni  0.1783  0.3217  0.0000  2 N 1.85
N  0.5000  0.5000  0.0000  4 Ni 1.85
Cr  0.1417  0.6417  0.5000  1 Cr 2.02
Ni  0.8217  0.6783  0.0000  2 N 1.85
Cr  0.3583  0.1417  0.5000  1 Cr 2.02



# 8
Computed, not measured: CrNiN2 after structural relaxation at the PBE level of DFT.

Computed properties:
- E_form (uncorrected) (meV per atom) = 73
- calculated total energy (eV per atom) = -7.94
- V (Å³ per atom) = 8.26
- energy above the lowest structure with this stoichiometry (eV/atom) = 0.2601

Lattice parameters (Å, degrees): 2.7517 2.7517 10.0501 90.00 90.00 119.77
With the nearest neighbours (Å) after each atom.
Sites, in units of the cell vectors:
N  0.3203  0.6797  0.1308  3 Cr 1.99, 3 Ni 2.01-2.09
N  0.3203  0.6797  0.3692  3 Cr 1.99, 3 Ni 2.01-2.09
Ni  0.0000  0.0000  0.5000  6 N 2.01-2.09
N  0.6797  0.3203  0.8692  3 Cr 1.99, 3 Ni 2.01-2.09
N  0.6797  0.3203  0.6308  3 Cr 1.99, 3 Ni 2.01-2.09
Cr  0.6547  0.3453  0.2500  6 N 1.99
Cr  0.3453  0.6547  0.7500  6 N 1.99
Ni  0.0000  0.0000  0.0000  6 N 2.01-2.09